1.
## MnB2BrN (GGA-PBE)

Data for MnB2BrN after structural relaxation.

Summary:
Formation energy from raw total energies: 1.712 eV/atom
Symmetry: P4/mmm, No. 123
Calculated volume: 53.1 Å³ per cell
DOS(E_F): 0.88 states/eV per atom

Cell: 3.493 3.493 4.352 Å, 90.00 90.00 90.00°
Atoms (fractional coordinates):
Mn1 0.000 0.000 0.000
B1 0.000 0.500 0.500
B2 0.500 0.000 0.500
Br1 0.500 0.500 0.000
N1 0.000 0.000 0.500



2.
## MnBOsBr2 (GGA-PBE)

Data for MnBOsBr2 after structural relaxation.

Summary:
Formation energy from raw total energies: 1.704 eV/atom
Symmetry: P4/mmm, No. 123
Calculated volume: 122.5 Å³ per cell
DOS(E_F): 1.24 states/eV per atom

Cell: 4.980 4.980 4.938 Å, 90.00 90.00 90.00°
Atoms (fractional coordinates):
Mn1 0.000 0.000 0.000
B1 0.500 0.500 0.000
Os1 0.000 0.000 0.500
Br1 0.000 0.500 0.500
Br2 0.500 0.000 0.500



3.
## Rb2MnBBr6 (GGA-PBE)

Data for Rb2MnBBr6 after structural relaxation.

Summary:
Formation energy from raw total energies: -0.702 eV/atom
Symmetry: I4/mmm, No. 139
Calculated volume: 295.2 Å³ per cell
DOS(E_F): 0.00 states/eV per atom

Cell: 7.594 7.594 7.594 Å, 122.85 122.85 85.13°
Atoms (fractional coordinates):
Rb1 0.250 0.750 0.500
Rb2 0.750 0.250 0.500
Mn1 0.000 0.000 0.000
B1 0.500 0.500 0.000
Br1 0.224 0.224 0.000
Br2 0.267 0.267 0.535
Br3 0.267 0.733 0.000
Br4 0.733 0.267 0.000
Br5 0.733 0.733 0.465
Br6 0.776 0.776 0.000



4.
## B3MoBr (GGA-PBE)

Data for B3MoBr after structural relaxation.

Summary:
Formation energy from raw total energies: 1.740 eV/atom
Symmetry: Pm-3m, No. 221
Calculated volume: 82.4 Å³ per cell
DOS(E_F): 0.93 states/eV per atom

Cell: 4.352 4.352 4.352 Å, 90.00 90.00 90.00°
Atoms (fractional coordinates):
B1 0.000 0.000 0.500
B2 0.000 0.500 0.000
B3 0.500 0.000 0.000
Mo1 0.000 0.000 0.000
Br1 0.500 0.500 0.500



5.
## BMo3Br (GGA-PBE)

Data for BMo3Br after structural relaxation.

Summary:
Formation energy from raw total energies: 0.902 eV/atom
Symmetry: Pm-3m, No. 221
Calculated volume: 79.2 Å³ per cell
DOS(E_F): 1.22 states/eV per atom

Cell: 4.294 4.294 4.294 Å, 90.00 90.00 90.00°
Atoms (fractional coordinates):
B1 0.000 0.000 0.000
Mo1 0.000 0.000 0.500
Mo2 0.000 0.500 0.000
Mo3 0.500 0.000 0.000
Br1 0.500 0.500 0.500



6.
## B2MoBr2 (GGA-PBE)

Data for B2MoBr2 after structural relaxation.

Summary:
Formation energy from raw total energies: 1.207 eV/atom
Symmetry: I4/mmm, No. 139
Calculated volume: 91.0 Å³ per cell
DOS(E_F): 0.67 states/eV per atom

Cell: 10.471 10.471 10.471 Å, 163.64 163.64 23.21°
Atoms (fractional coordinates):
B1 0.250 0.750 0.500
B2 0.750 0.250 0.500
Mo1 0.000 0.000 0.000
Br1 0.419 0.419 0.000
Br2 0.581 0.581 0.000



7.
## B2MoBr2 (GGA-PBE)

Data for B2MoBr2 after structural relaxation.

Summary:
Formation energy from raw total energies: 1.702 eV/atom
Symmetry: P4/mbm, No. 127
Calculated volume: 153.7 Å³ per cell
DOS(E_F): 0.89 states/eV per atom

Cell: 7.112 7.112 3.039 Å, 90.00 90.00 90.00°
Atoms (fractional coordinates):
B1 0.215 0.285 0.000
B2 0.285 0.785 0.000
B3 0.715 0.215 0.000
B4 0.785 0.715 0.000
Mo1 0.000 0.000 0.500
Mo2 0.500 0.500 0.500
Br1 0.145 0.645 0.500
Br2 0.355 0.145 0.500
Br3 0.645 0.855 0.500
Br4 0.855 0.355 0.500



8.
## BMo2Br (GGA-PBE)

Data for BMo2Br after structural relaxation.

Summary:
Formation energy from raw total energies: 0.915 eV/atom
Symmetry: Fm-3m, No. 225
Calculated volume: 54.1 Å³ per cell
DOS(E_F): 0.69 states/eV per atom

Cell: 4.246 4.246 4.246 Å, 60.00 60.00 60.00°
Atoms (fractional coordinates):
B1 0.000 0.000 0.000
Mo1 0.250 0.250 0.250
Mo2 0.750 0.750 0.750
Br1 0.500 0.500 0.500